Entry from Alexandria: a relaxed BaLi2CaP2 crystal (PBE).

Cell lengths 4.4390, 4.4390, 7.8282 Å; angles 90.00, 90.00, 120.00 degrees
Space group P-3m1 (No. 164)
Unique sites:
Ba  0.0000  0.0000  0.0000
Li  0.3333  0.6667  0.6794
Ca  0.0000  0.0000  0.5000
P  0.3333  0.6667  0.2850

## Properties
spin magnetization	0.0	μB per formula unit
DFT formation energy	-559.0	kJ/mol of formula units
VASP energy	-4.06	eV per atom